Here is an optimized crystal structure of Cs2MgMnBr6 from Alexandria. Energies are from GGA-PBE.

```
Cs2MgMnBr6
1.0
7.762 0.000 0.000
3.881 6.722 0.000
3.881 2.241 12.836
Cs Mg Mn Br
4 2 2 12
direct
0.875 0.875 0.374
0.125 0.125 0.626
0.708 0.708 0.876
0.292 0.292 0.124
0.586 0.586 0.241
0.414 0.414 0.759
0.000 0.000 0.000
0.500 0.500 0.500
0.859 0.385 0.371
0.385 0.859 0.371
0.385 0.385 0.371
0.141 0.615 0.629
0.615 0.141 0.629
0.615 0.615 0.629
0.710 0.206 0.878
0.206 0.710 0.878
0.206 0.206 0.878
0.290 0.794 0.122
0.794 0.290 0.122
0.794 0.794 0.122
```

**Raw formation energy**: -1.419 eV/atom
**Energy above the lowest structure with this stoichiometry**: 0.0000 eV per atom
**N(E_F)**: 0.000 states/eV/atom
**SG**: R-3m, No. 166
**Density**: 4.088 g/cm³

=====

Here is an optimized crystal structure of Cs2MgMoBr6 from Alexandria. Energies are from GGA-PBE.

```
Cs2MgMoBr6
1.0
7.763 0.000 0.000
0.000 7.763 0.000
3.882 3.882 5.492
Cs Mo Mg Br
2 1 1 6
direct
0.750 0.250 0.500
0.250 0.750 0.500
0.000 0.000 0.000
0.500 0.500 0.000
0.250 0.250 0.501
0.750 0.750 0.499
0.250 0.250 0.000
0.750 0.750 0.000
0.750 0.250 0.000
0.250 0.750 0.000
```

**Raw formation energy**: -1.135 eV/atom
**N(E_F)**: 0.221 states/eV/atom
**SG**: Fm-3m, No. 225
**Density**: 4.342 g/cm³

=====

Here is an optimized crystal structure of Cs3Na2MgBr6 from Alexandria. Energies are from GGA-PBE.

```
Cs3Na2MgBr6
1.0
-4.615 5.469 -3.710
4.979 -4.656 -4.301
-6.732 -6.324 -0.948
Cs Na Mg Br
3 2 1 6
direct
0.333 0.667 0.628
0.667 0.333 0.372
0.000 0.000 0.000
0.667 0.333 0.825
0.333 0.667 0.175
0.000 0.000 0.500
0.686 0.843 0.324
0.157 0.314 0.324
0.157 0.843 0.324
0.843 0.686 0.676
0.314 0.157 0.676
0.843 0.157 0.676
```

**Raw formation energy**: -1.437 eV/atom
**N(E_F)**: 0.176 states/eV/atom
**SG**: P-3m1, No. 164
**Density**: 3.014 g/cm³

=====

Here is an optimized crystal structure of CsNaMgBr4 from Alexandria. Energies are from GGA-PBE.

```
CsNaMgBr4
1.0
-5.718 -2.290 3.785
4.746 -4.357 4.532
3.262 8.135 4.404
Cs Na Mg Br
2 2 2 8
direct
0.751 0.750 0.938
0.249 0.250 0.062
0.833 0.750 0.479
0.167 0.250 0.521
0.230 0.750 0.320
0.770 0.250 0.680
0.011 0.492 0.708
0.989 0.992 0.292
0.989 0.508 0.292
0.011 0.008 0.708
0.351 0.750 0.106
0.649 0.250 0.894
0.476 0.750 0.557
0.524 0.250 0.443
```

**Raw formation energy**: -1.584 eV/atom
**N(E_F)**: 0.000 states/eV/atom
**SG**: P2_1/m, No. 11
**Density**: 3.106 g/cm³

=====

Here is an optimized crystal structure of Cs3NaMg2Br9 from Alexandria. Energies are from GGA-PBE.

```
Cs3NaMg2Br9
1.0
-2.212 6.666 -3.483
-5.033 -3.882 4.588
3.109 5.043 7.677
Cs Na Mg Br
3 1 2 9
direct
0.333 0.667 0.662
0.000 0.000 0.000
0.667 0.333 0.338
0.000 0.000 0.500
0.333 0.667 0.166
0.667 0.333 0.834
0.827 0.173 0.681
0.827 0.654 0.681
0.346 0.173 0.681
0.654 0.827 0.319
0.173 0.346 0.319
0.173 0.827 0.319
0.500 0.000 0.000
0.000 0.500 0.000
0.500 0.500 0.000
```

**Raw formation energy**: -1.486 eV/atom
**N(E_F)**: 1.158 states/eV/atom
**SG**: P-3m1, No. 164
**Density**: 3.827 g/cm³

=====

Here is an optimized crystal structure of CsNaMg2Br6 from Alexandria. Energies are from GGA-PBE.

```
CsNaMg2Br6
1.0
7.238 -0.540 -0.561
1.680 10.309 -0.176
1.680 -0.558 10.296
Cs Na Mg Br
2 2 4 12
direct
0.250 0.897 0.103
0.750 0.103 0.897
0.250 0.293 0.707
0.750 0.707 0.293
0.236 0.782 0.622
0.264 0.378 0.218
0.764 0.218 0.378
0.736 0.622 0.782
0.215 0.980 0.766
0.285 0.234 0.020
0.785 0.020 0.234
0.715 0.766 0.980
0.399 0.813 0.410
0.101 0.590 0.187
0.601 0.187 0.590
0.899 0.410 0.813
0.902 0.727 0.590
0.598 0.410 0.273
0.098 0.273 0.410
0.402 0.590 0.727
```

**Raw formation energy**: -1.515 eV/atom
**N(E_F)**: 0.000 states/eV/atom
**SG**: C2/c, No. 15
**Density**: 2.885 g/cm³

=====

Which value of raw formation energy does entry 6 give? -1.515 eV/atom

=====

Please write out number 6 again, unchanged.
Here is an optimized crystal structure of CsNaMg2Br6 from Alexandria. Energies are from GGA-PBE.

```
CsNaMg2Br6
1.0
7.238 -0.540 -0.561
1.680 10.309 -0.176
1.680 -0.558 10.296
Cs Na Mg Br
2 2 4 12
direct
0.250 0.897 0.103
0.750 0.103 0.897
0.250 0.293 0.707
0.750 0.707 0.293
0.236 0.782 0.622
0.264 0.378 0.218
0.764 0.218 0.378
0.736 0.622 0.782
0.215 0.980 0.766
0.285 0.234 0.020
0.785 0.020 0.234
0.715 0.766 0.980
0.399 0.813 0.410
0.101 0.590 0.187
0.601 0.187 0.590
0.899 0.410 0.813
0.902 0.727 0.590
0.598 0.410 0.273
0.098 0.273 0.410
0.402 0.590 0.727
```

**Raw formation energy**: -1.515 eV/atom
**N(E_F)**: 0.000 states/eV/atom
**SG**: C2/c, No. 15
**Density**: 2.885 g/cm³

=====

Repeat the fourth record exactly.
Here is an optimized crystal structure of CsNaMgBr4 from Alexandria. Energies are from GGA-PBE.

```
CsNaMgBr4
1.0
-5.718 -2.290 3.785
4.746 -4.357 4.532
3.262 8.135 4.404
Cs Na Mg Br
2 2 2 8
direct
0.751 0.750 0.938
0.249 0.250 0.062
0.833 0.750 0.479
0.167 0.250 0.521
0.230 0.750 0.320
0.770 0.250 0.680
0.011 0.492 0.708
0.989 0.992 0.292
0.989 0.508 0.292
0.011 0.008 0.708
0.351 0.750 0.106
0.649 0.250 0.894
0.476 0.750 0.557
0.524 0.250 0.443
```

**Raw formation energy**: -1.584 eV/atom
**N(E_F)**: 0.000 states/eV/atom
**SG**: P2_1/m, No. 11
**Density**: 3.106 g/cm³

=====

The highest N(E_F) belongs to which entry? Cs3NaMg2Br9